{
  "formula": "K2HgSe2",
  "functional": "GGA-PBE",
  "state": "relaxed",
  "cell": [[-2.0604, 2.0604, 9.9764], [2.0604, -2.0604, 9.9764], [2.0604, 2.0604, -9.9764]],
  "species": ["K", "K", "Hg", "Se", "Se"],
  "frac_coords": [[0.1228, 0.1228, 0.0000], [0.8772, 0.8772, 0.0000], [0.5000, 0.5000, 0.0000], [0.2500, 0.7500, 0.5000], [0.7500, 0.2500, 0.5000]],
  "e_tot_ev_per_atom": -2.33,
  "space_group": "I4/mmm, No. 139",
  "crystal_system": "tetragonal",
  "e_form_raw_ev_per_atom": -0.432,
  "m_tot_mub_per_fu": 0.0
}